No. 1
The following is a DFT calculation (PBE) of a relaxed Na2SiBSe4 crystal.

Calculated values
- Density: 3.5 g/cm3
- Magnetic moment: 0.94 μB/f.u.
- Calculated total energy: -32.29 eV per cell
- Raw formation energy: -3.61 eV per formula unit
- Calculated volume: 23.7 A^3/atom

The structure in POSCAR format:
```
Na2SiBSe4
1.0
6.096 0.000 0.000
-2.891 5.409 0.000
-0.560 -3.249 5.745
Na Si B Se
2 1 1 4
Cartesian
0.000 0.000 0.000 Na
-0.309 0.429 4.260 Na
-0.369 3.591 3.135 Si
2.615 1.866 1.701 B
-2.594 3.658 2.323 Se
0.695 2.482 1.240 Se
2.707 -2.291 5.644 Se
2.873 0.549 3.318 Se
```

***

No. 2
The following is a DFT calculation (PBE) of a relaxed NaSi2BSe6 crystal.

Calculated values
- Density: 3.7 g/cm3
- Magnetic moment: 0.00 μB/f.u.
- Calculated total energy: -87.37 eV per cell
- Raw formation energy: -3.93 eV per formula unit
- Calculated volume: 25.4 A^3/atom

The structure in POSCAR format:
```
NaSi2BSe6
1.0
6.153 -6.910 0.000
6.153 6.910 0.000
-2.609 0.000 5.977
Na Si B Se
2 4 2 12
Cartesian
4.196 4.613 4.482 Na
5.501 -4.613 1.494 Na
0.711 1.210 5.478 Si
2.016 -1.210 2.489 Si
7.681 1.210 3.487 Si
8.985 -1.210 0.499 Si
5.501 3.010 1.494 B
4.196 -3.010 4.482 B
3.678 3.974 1.792 Se
1.969 0.865 1.392 Se
0.665 -0.865 4.380 Se
2.909 1.782 5.771 Se
7.323 3.974 1.196 Se
5.484 1.782 3.194 Se
4.213 -1.782 2.783 Se
2.373 -3.974 4.780 Se
6.788 -1.782 0.205 Se
9.032 0.865 1.597 Se
7.728 -0.865 4.585 Se
6.019 -3.974 4.184 Se
```

***

No. 3
The following is a DFT calculation (PBE) of a relaxed Na2UBSe5 crystal.

Calculated values
- Density: 4.9 g/cm3
- Magnetic moment: 1.05 μB/f.u.
- Calculated total energy: -89.53 eV per cell
- Raw formation energy: -6.74 eV per formula unit
- Calculated volume: 25.9 A^3/atom

The structure in POSCAR format:
```
Na2UBSe5
1.0
1.934 -9.136 0.000
1.934 9.136 0.000
0.000 0.000 13.174
Na U B Se
4 2 2 10
Cartesian
1.934 7.269 6.587 Na
1.934 7.258 2.353 Na
1.934 -7.258 8.940 Na
1.934 -7.269 0.000 Na
1.934 5.477 11.483 U
1.934 -5.477 4.896 U
1.934 1.398 3.213 B
1.934 -1.398 9.800 B
1.934 8.224 11.058 Se
1.934 3.530 6.825 Se
1.934 3.417 2.830 Se
1.934 2.879 11.114 Se
1.934 0.262 1.595 Se
1.934 -0.262 8.182 Se
1.934 -2.879 4.527 Se
1.934 -3.417 9.417 Se
1.934 -3.530 0.238 Se
1.934 -8.224 4.471 Se
```

***

No. 4
The following is a DFT calculation (PBE) of a relaxed NaSi3B crystal.

Calculated values
- Density: 2.4 g/cm3
- Energy above the lowest structure with this stoichiometry: 0.000 eV per atom
- Magnetic moment: 0.00 μB/f.u.
- Calculated total energy: -20.61 eV per cell
- Raw formation energy: 3.65 eV per formula unit
- Calculated volume: 16.1 A^3/atom

The structure in POSCAR format:
```
NaSi3B
1.0
4.321 0.000 0.000
0.000 4.321 0.000
0.000 0.000 4.321
Na Si B
1 3 1
Cartesian
0.000 0.000 0.000 Na
0.000 2.160 2.160 Si
2.160 0.000 2.160 Si
2.160 2.160 0.000 Si
2.160 2.160 2.160 B
```

***

No. 5
The following is a DFT calculation (PBE) of a relaxed Na2SiB crystal.

Calculated values
- Density: 1.9 g/cm3
- Energy above the lowest structure with this stoichiometry: 0.716 eV per atom
- Magnetic moment: 0.00 μB/f.u.
- Calculated total energy: -41.62 eV per cell
- Raw formation energy: 4.33 eV per formula unit
- Calculated volume: 18.1 A^3/atom

The structure in POSCAR format:
```
Na2SiB
1.0
6.619 0.000 0.000
0.000 6.619 0.000
0.000 0.000 6.619
Na Si B
8 4 4
Cartesian
1.655 1.655 1.655 Na
1.655 1.655 4.964 Na
1.655 4.964 1.655 Na
1.655 4.964 4.964 Na
4.964 1.655 1.655 Na
4.964 1.655 4.964 Na
4.964 4.964 1.655 Na
4.964 4.964 4.964 Na
0.000 0.000 0.000 Si
0.000 3.310 3.310 Si
3.310 0.000 3.310 Si
3.310 3.310 0.000 Si
0.000 0.000 3.310 B
0.000 3.310 0.000 B
3.310 0.000 0.000 B
3.310 3.310 3.310 B
```

***

No. 6
The following is a DFT calculation (PBE) of a relaxed Na2SiB crystal.

Calculated values
- Density: 1.3 g/cm3
- Energy above the lowest structure with this stoichiometry: 0.000 eV per atom
- Magnetic moment: 0.00 μB/f.u.
- Calculated total energy: -53.07 eV per cell
- Raw formation energy: 1.47 eV per formula unit
- Calculated volume: 26.6 A^3/atom

The structure in POSCAR format:
```
Na2SiB
1.0
10.711 0.000 0.000
0.000 10.711 0.000
0.000 0.000 3.710
Na Si B
8 4 4
Cartesian
0.050 8.033 0.464 Na
2.678 0.050 3.246 Na
2.678 5.306 1.391 Na
5.306 8.033 2.319 Na
5.405 2.678 2.319 Na
8.033 5.405 1.391 Na
8.033 10.661 3.246 Na
10.661 2.678 0.464 Na
0.000 0.000 1.855 Si
0.000 5.355 2.782 Si
5.355 0.000 0.927 Si
5.355 5.355 0.000 Si
0.000 0.000 0.000 B
0.000 5.355 0.927 B
5.355 0.000 2.782 B
5.355 5.355 1.855 B
```

***

No. 7
The following is a DFT calculation (PBE) of a relaxed NaSiB2 crystal.

Calculated values
- Density: 2.1 g/cm3
- Magnetic moment: 0.00 μB/f.u.
- Calculated total energy: -70.60 eV per cell
- Raw formation energy: 2.45 eV per formula unit
- Calculated volume: 14.5 A^3/atom

The structure in POSCAR format:
```
NaSiB2
1.0
4.176 0.000 0.000
0.000 4.176 0.000
0.000 0.000 13.265
Na Si B
4 4 8
Cartesian
0.000 1.044 4.974 Na
0.000 3.132 8.290 Na
2.088 1.044 1.658 Na
2.088 3.132 11.606 Na
0.000 1.044 11.606 Si
0.000 3.132 1.658 Si
2.088 1.044 8.290 Si
2.088 3.132 4.974 Si
0.000 0.000 0.000 B
0.000 2.088 0.000 B
1.044 1.044 9.948 B
1.044 3.132 3.316 B
2.088 0.000 6.632 B
2.088 2.088 6.632 B
3.132 1.044 9.948 B
3.132 3.132 3.316 B
```

***

No. 8
The following is a DFT calculation (PBE) of a relaxed NaSi3B crystal.

Calculated values
- Density: 1.7 g/cm3
- Energy above the lowest structure with this stoichiometry: 1.609 eV per atom
- Magnetic moment: 0.00 μB/f.u.
- Calculated total energy: -12.57 eV per cell
- Raw formation energy: 11.70 eV per formula unit
- Calculated volume: 23.4 A^3/atom

The structure in POSCAR format:
```
NaSi3B
1.0
4.891 0.000 0.000
0.000 4.891 0.000
0.000 0.000 4.891
Na Si B
1 3 1
Cartesian
0.000 0.000 0.000 Na
0.000 0.000 2.445 Si
0.000 2.445 0.000 Si
2.445 0.000 0.000 Si
2.445 2.445 2.445 B
```